Computed, not measured: a relaxed Sm6Dy2Tm3 crystal at the PBE level of DFT.

Summary:
Its polymorph energy (0 for the lowest one) is 0.283 eV per atom. For the total energy, the calculation gives -47.62 eV per cell. As for the formation energy: 0.30 eV/atom.

Lattice parameters (Å, degrees): 17.032 17.032 17.032 164.00 164.00 22.71
Atoms (fractional coordinates):
Sm: 0.121 0.621 0.500
Sm: 0.199 0.199 0.000
Sm: 0.379 0.879 0.500
Sm: 0.621 0.121 0.500
Sm: 0.801 0.801 0.000
Sm: 0.879 0.379 0.500
Dy: 0.045 0.045 0.000
Dy: 0.955 0.955 0.000
Tm: 0.302 0.302 0.000
Tm: 0.500 0.500 0.000
Tm: 0.698 0.698 0.000

Computed, not measured: a relaxed BaLiMg crystal at the PBE level of DFT.

Summary:
Its polymorph energy (0 for the lowest one) is 0.019 eV per atom. For the total energy, the calculation gives -21.78 eV per cell. As for the formation energy: 0.00 eV/atom.

Lattice parameters (Å, degrees): 7.073 6.698 9.714 90.00 112.17 90.00
Atoms (fractional coordinates):
Ba: 0.202 0.117 0.377
Ba: 0.202 0.383 0.877
Ba: 0.798 0.617 0.123
Ba: 0.798 0.883 0.623
Li: 0.210 0.619 0.532
Li: 0.210 0.881 0.032
Li: 0.790 0.119 0.968
Li: 0.790 0.381 0.468
Mg: 0.403 0.602 0.296
Mg: 0.403 0.898 0.796
Mg: 0.597 0.102 0.204
Mg: 0.597 0.398 0.704

Computed, not measured: a relaxed La2ZrMo crystal at the PBE level of DFT.

Summary:
Its polymorph energy (0 for the lowest one) is 0.090 eV per atom. For the total energy, the calculation gives -56.17 eV per cell. As for the formation energy: 0.29 eV/atom.

Lattice parameters (Å, degrees): 11.899 3.708 5.446 90.00 117.18 90.00
Atoms (fractional coordinates):
La: 0.000 0.000 0.000
La: 0.224 0.000 0.724
La: 0.500 0.500 0.000
La: 0.724 0.500 0.724
Zr: 0.290 0.500 0.290
Zr: 0.790 0.000 0.290
Mo: 0.470 0.000 0.473
Mo: 0.970 0.500 0.473

Computed, not measured: a relaxed Ni3AsRh crystal at the PBE level of DFT.

Summary:
Its polymorph energy (0 for the lowest one) is 0.543 eV per atom. For the total energy, the calculation gives -23.30 eV per cell. As for the formation energy: 1.21 eV/atom.

Lattice parameters (Å, degrees): 4.503 4.503 4.503 90.00 90.00 90.00
Atoms (fractional coordinates):
Ni: 0.000 0.000 0.500
Ni: 0.000 0.500 0.000
Ni: 0.500 0.000 0.000
As: 0.500 0.500 0.500
Rh: 0.000 0.000 0.000

Computed, not measured: a relaxed YRhAu crystal at the PBE level of DFT.

Summary:
For the total energy, the calculation gives -76.28 eV per cell. As for the formation energy: -0.66 eV/atom.

Lattice parameters (Å, degrees): 4.952 8.315 5.683 90.00 90.00 90.00
Atoms (fractional coordinates):
Y: 0.000 0.163 0.250
Y: 0.000 0.837 0.750
Y: 0.500 0.337 0.750
Y: 0.500 0.663 0.250
Rh: 0.000 0.178 0.750
Rh: 0.000 0.822 0.250
Rh: 0.500 0.322 0.250
Rh: 0.500 0.678 0.750
Au: 0.000 0.500 0.000
Au: 0.000 0.500 0.500
Au: 0.500 0.000 0.000
Au: 0.500 0.000 0.500

Computed, not measured: a relaxed RuPtPbC2 crystal at the PBE level of DFT.

Summary:
For the total energy, the calculation gives -22.01 eV per cell. As for the formation energy: 3.09 eV/atom.

Lattice parameters (Å, degrees): 4.335 4.335 5.212 90.00 90.00 90.00
Atoms (fractional coordinates):
Ru: 0.000 0.000 0.000
Pt: 0.500 0.500 0.000
Pb: 0.500 0.500 0.500
C: 0.000 0.500 0.500
C: 0.500 0.000 0.500

Computed, not measured: a relaxed Mg2TeCSe crystal at the PBE level of DFT.

Summary:
For the total energy, the calculation gives -17.82 eV per cell. Its uncorrected formation energy is 244 meV per atom.

Lattice parameters (Å, degrees): 4.352 4.352 5.172 90.00 90.00 90.00
Atoms (fractional coordinates):
Mg: 0.000 0.500 0.000
Mg: 0.500 0.000 0.000
Te: 0.000 0.000 0.500
C: 0.500 0.500 0.000
Se: 0.500 0.500 0.500

Computed, not measured: a relaxed BPd crystal at the PBE level of DFT.

Summary:
For the total energy, the calculation gives -44.20 eV per cell. As for the formation energy: 0.41 eV/atom.

Lattice parameters (Å, degrees): 4.494 4.494 4.494 90.00 90.00 90.00
Atoms (fractional coordinates):
B: 0.000 0.000 0.000
B: 0.000 0.500 0.500
B: 0.500 0.000 0.500
B: 0.500 0.500 0.000
Pd: 0.000 0.000 0.500
Pd: 0.000 0.500 0.000
Pd: 0.500 0.000 0.000
Pd: 0.500 0.500 0.500

- Which formula does entry 2 have?
  BaLiMg